# GdZnHgPb GGA-PBE relaxed
data_GdZnHgPb
_chemical_formula_sum 'Gd4 Zn4 Hg4 Pb4'
_cell_length_a 7.3587
_cell_length_b 7.3587
_cell_length_c 7.3587
_cell_angle_alpha 90.00
_cell_angle_beta 90.00
_cell_angle_gamma 90.00
_symmetry_space_group_name_H-M 'F -4 3 m'
_symmetry_Int_Tables_number 216
_symmetry_space_group_name_Hall 'F -4 2 3'
loop_
_atom_site_label
_atom_site_type_symbol
_atom_site_fract_x
_atom_site_fract_y
_atom_site_fract_z
Gd1 Gd 0.0000 0.0000 0.0000
Zn1 Zn 0.2500 0.2500 0.7500
Hg1 Hg 0.2500 0.2500 0.2500
Pb1 Pb 0.0000 0.0000 0.5000
# * energy of formation: -20.3 kJ per mole of atoms
# * E: -80.8 eV for the cell shown